# 1
A relaxed structure of CaSi3O, computed with PBE.

a = 4.3439 Å, b = 4.3439 Å, c = 4.3439 Å
α = 90.00°, β = 90.00°, γ = 90.00°
With the nearest neighbours (Å) after each atom.
Fractional positions:
Ca1 0.0000 0.0000 0.0000  12 Si 3.07
Si1 0.0000 0.5000 0.5000  2 O 2.17
Si2 0.5000 0.0000 0.5000  2 O 2.17
Si3 0.5000 0.5000 0.0000  2 O 2.17
O1 0.5000 0.5000 0.5000  6 Si 2.17

Values from the calculation:
Symmetry: No. 221
Energy above the lowest structure with this stoichiometry: 0.000 eV/atom
Formation energy from raw total energies: -0.09 eV per atom
Spin magnetization: 0.0 Bohr magnetons per cell

***

# 2
A relaxed structure of Sr5CaHg3, computed with PBE.

a = 8.1779 Å, b = 8.1779 Å, c = 12.4967 Å
α = 104.72°, β = 104.72°, γ = 96.19°
With the nearest neighbours (Å) after each atom.
Fractional positions:
Sr1 0.2260 0.7599 0.3299  3 Hg 3.25-3.53
Sr2 0.2365 0.7635 0.0000  3 Hg 3.21-3.58
Sr3 0.2401 0.7740 0.6701  3 Hg 3.25-3.53
Sr4 0.2588 0.2588 0.0847  4 Hg 3.18-3.41
Sr5 0.2681 0.2681 0.4231  4 Hg 3.18-3.42
Sr6 0.7319 0.7319 0.5769  4 Hg 3.18-3.42
Sr7 0.7412 0.7412 0.9153  4 Hg 3.18-3.41
Sr8 0.7599 0.2260 0.3299  3 Hg 3.25-3.53
Sr9 0.7635 0.2365 0.0000  3 Hg 3.21-3.58
Sr10 0.7740 0.2401 0.6701  3 Hg 3.25-3.53
Ca1 0.2629 0.2629 0.7581  4 Hg 3.07-3.41
Ca2 0.7371 0.7371 0.2419  4 Hg 3.07-3.41
Hg1 0.0000 0.0000 0.5000  2 Ca 3.41, 6 Sr 3.41-3.53
Hg2 0.0035 0.0035 0.8304  1 Ca 3.29, 7 Sr 3.34-3.58
Hg3 0.4941 0.4941 0.6757  1 Ca 3.07, 5 Sr 3.18-3.27
Hg4 0.5000 0.5000 0.0000  2 Ca 3.14, 4 Sr 3.19-3.21
Hg5 0.5059 0.5059 0.3243  1 Ca 3.07, 5 Sr 3.18-3.27
Hg6 0.9965 0.9965 0.1696  1 Ca 3.29, 7 Sr 3.34-3.58

Values from the calculation:
Symmetry: No. 12
Formation energy from the elements: -0.27 eV/atom
Spin magnetization: 0.0 Bohr magnetons per cell

***

# 3
A relaxed structure of RbMg2Ru, computed with PBE.

a = 9.3636 Å, b = 9.3636 Å, c = 9.3636 Å
α = 142.61°, β = 142.61°, γ = 53.91°
With the nearest neighbours (Å) after each atom.
Fractional positions:
Rb1 0.3750 0.6250 0.7500  8 Mg 3.95, 4 Ru 4.24
Rb2 0.6250 0.3750 0.2500  8 Mg 3.95, 4 Ru 4.24
Mg1 0.0000 0.0000 0.0000  2 Ru 2.57
Mg2 0.0000 0.0000 0.5000  2 Ru 2.57
Mg3 0.0000 0.5000 0.0000  2 Ru 2.57
Mg4 0.5000 0.0000 0.5000  2 Ru 2.57
Ru1 0.1250 0.8750 0.2500  4 Mg 2.57
Ru2 0.8750 0.1250 0.7500  4 Mg 2.57

Values from the calculation:
Symmetry: No. 141
Formation energy from the elements: 0.78 eV/atom
Energy above the lowest structure with this stoichiometry: 0.000 eV/atom
Spin magnetization: 1.7 Bohr magnetons per cell

***

# 4
A relaxed structure of Th4RePSe2, computed with PBE.

a = 7.3191 Å, b = 4.1415 Å, c = 7.4443 Å
α = 90.00°, β = 108.54°, γ = 90.00°
With the nearest neighbours (Å) after each atom.
Fractional positions:
Th1 0.2314 0.0000 0.2220  2 Re 2.85, 1 P 2.94, 3 Se 3.06-3.14
Th2 0.2530 0.5000 0.7741  1 Re 2.87, 2 P 2.91, 3 Se 3.08-3.13
Th3 0.7470 0.5000 0.2259  1 Re 2.87, 2 P 2.91, 3 Se 3.08-3.13
Th4 0.7686 0.0000 0.7780  2 Re 2.85, 1 P 2.94, 3 Se 3.06-3.14
Re1 0.0000 0.5000 0.0000  6 Th 2.85-2.87
P1 0.5000 0.0000 0.0000  6 Th 2.91-2.94
Se1 0.0000 0.0000 0.5000  6 Th 3.06-3.08
Se2 0.5000 0.5000 0.5000  6 Th 3.13-3.14

Values from the calculation:
Symmetry: No. 10
Formation energy from raw total energies: -1.13 eV per atom
Spin magnetization: 0.0 Bohr magnetons per cell

***

# 5
A relaxed structure of HoTmAgRu, computed with PBE.

a = 4.9166 Å, b = 4.9166 Å, c = 4.9166 Å
α = 60.00°, β = 60.00°, γ = 60.00°
With the nearest neighbours (Å) after each atom.
Fractional positions:
Ho1 0.0000 0.0000 0.0000  4 Ru 3.01, 4 Ag 3.01
Tm1 0.5000 0.5000 0.5000  4 Ru 3.01, 4 Ag 3.01
Ag1 0.7500 0.7500 0.7500  4 Ho 3.01, 4 Tm 3.01
Ru1 0.2500 0.2500 0.2500  4 Ho 3.01, 4 Tm 3.01

Values from the calculation:
Symmetry: No. 216
Formation energy from the elements: -0.39 eV/atom
Energy above the lowest structure with this stoichiometry: 0.064 eV/atom
Spin magnetization: 0.0 Bohr magnetons per cell

***

# 6
A relaxed structure of InTc2Os, computed with PBE.

a = 5.8747 Å, b = 5.8747 Å, c = 5.8747 Å
α = 101.92°, β = 101.92°, γ = 125.94°
With the nearest neighbours (Å) after each atom.
Fractional positions:
In1 0.0000 0.0000 0.0000  2 Os 2.67, 4 Tc 2.99
In2 0.7500 0.2500 0.5000  2 Os 2.67, 4 Tc 2.99
Tc1 0.1785 0.6250 0.0535  2 Os 2.45
Tc2 0.3750 0.4285 0.5535  2 Os 2.45
Tc3 0.5715 0.1250 0.9465  2 Os 2.45
Tc4 0.8750 0.8215 0.4465  2 Os 2.45
Os1 0.2500 0.7500 0.5000  4 Tc 2.45, 2 In 2.67
Os2 0.5000 0.5000 0.0000  4 Tc 2.45, 2 In 2.67

Values from the calculation:
Symmetry: No. 122
Formation energy from the elements: 0.80 eV/atom
Spin magnetization: 0.0 Bohr magnetons per cell

***

# 7
A relaxed structure of TcRhW2, computed with PBE.

a = 4.7927 Å, b = 4.7927 Å, c = 4.7927 Å
α = 131.18°, β = 131.18°, γ = 71.52°
With the nearest neighbours (Å) after each atom.
Fractional positions:
Tc1 0.0000 0.0000 0.0000  8 W 2.78, 4 Rh 2.80
Rh1 0.5000 0.5000 0.0000  8 W 2.78, 4 Tc 2.80
W1 0.2500 0.7500 0.5000  4 Rh 2.78, 4 Tc 2.78, 4 W 2.80
W2 0.7500 0.2500 0.5000  4 Rh 2.78, 4 Tc 2.78, 4 W 2.80

Values from the calculation:
Symmetry: No. 139
Formation energy from the elements: 0.01 eV/atom
Energy above the lowest structure with this stoichiometry: 0.001 eV/atom
Spin magnetization: 0.0 Bohr magnetons per cell

***

# 8
A relaxed structure of AcAl3Os, computed with PBE.

a = 6.6323 Å, b = 6.6323 Å, c = 11.3729 Å
α = 90.00°, β = 90.00°, γ = 120.00°
With the nearest neighbours (Å) after each atom.
Fractional positions:
Ac1 0.0000 0.0000 0.0000  12 Al 3.30-3.32
Ac2 0.0000 0.0000 0.5000  12 Al 3.30-3.32
Ac3 0.3333 0.6667 0.2500  12 Al 3.32-3.43
Ac4 0.6667 0.3333 0.7500  12 Al 3.32-3.43
Al1 0.0000 0.5000 0.0000  2 Os 2.38
Al2 0.0000 0.5000 0.5000  2 Os 2.38
Al3 0.1458 0.2916 0.7500  2 Os 2.59
Al4 0.1458 0.8542 0.7500  2 Os 2.59
Al5 0.2916 0.1458 0.2500  2 Os 2.59
Al6 0.5000 0.0000 0.0000  2 Os 2.38
Al7 0.5000 0.0000 0.5000  2 Os 2.38
Al8 0.5000 0.5000 0.0000  2 Os 2.38
Al9 0.5000 0.5000 0.5000  2 Os 2.38
Al10 0.7084 0.8542 0.7500  2 Os 2.59
Al11 0.8542 0.1458 0.2500  2 Os 2.59
Al12 0.8542 0.7084 0.2500  2 Os 2.59
Os1 0.3333 0.6667 0.6242  6 Al 2.38-2.59
Os2 0.3333 0.6667 0.8758  6 Al 2.38-2.59
Os3 0.6667 0.3333 0.1242  6 Al 2.38-2.59
Os4 0.6667 0.3333 0.3758  6 Al 2.38-2.59

Values from the calculation:
Symmetry: No. 194
Formation energy from the elements: -0.39 eV/atom
Energy above the lowest structure with this stoichiometry: 0.000 eV/atom
Spin magnetization: 0.0 Bohr magnetons per cell

***

# 9
A relaxed structure of AcMgCd2Pd4, computed with PBE.

a = 9.0950 Å, b = 9.0950 Å, c = 9.0950 Å
α = 29.59°, β = 29.59°, γ = 29.59°
With the nearest neighbours (Å) after each atom.
Fractional positions:
Ac1 0.0000 0.0000 0.0000  8 Pd 3.18-3.33
Mg1 0.5000 0.5000 0.5000  8 Pd 2.63-2.87
Cd1 0.2375 0.2375 0.2375  7 Pd 2.79-2.86
Cd2 0.7625 0.7625 0.7625  7 Pd 2.79-2.86
Pd1 0.1277 0.1277 0.1277  4 Cd 2.81-2.86, 3 Mg 2.87, 3 Pd 3.13
Pd2 0.3992 0.3992 0.3992  1 Mg 2.63, 3 Cd 2.79
Pd3 0.6008 0.6008 0.6008  1 Mg 2.63, 3 Cd 2.79
Pd4 0.8723 0.8723 0.8723  4 Cd 2.81-2.86, 3 Mg 2.87, 3 Pd 3.13

Values from the calculation:
Symmetry: No. 166
Formation energy from the elements: -0.59 eV/atom
Spin magnetization: 0.0 Bohr magnetons per cell

***

# 10
A relaxed structure of Ce2ErSi4Pt3, computed with PBE.

a = 4.2605 Å, b = 4.2605 Å, c = 10.6765 Å
α = 90.00°, β = 90.00°, γ = 90.00°
With the nearest neighbours (Å) after each atom.
Fractional positions:
Ce1 0.0000 0.5000 0.2323  8 Si 3.21-3.27, 6 Pt 3.28-3.56, 2 Er 3.56
Ce2 0.5000 0.0000 0.7677  8 Si 3.21-3.27, 6 Pt 3.28-3.56, 2 Er 3.56
Er1 0.0000 0.0000 0.5000  4 Si 2.76, 4 Pt 3.01
Si1 0.0000 0.0000 0.0000  4 Pt 2.43
Si2 0.0000 0.5000 0.6638  1 Pt 2.41
Si3 0.5000 0.0000 0.3362  1 Pt 2.41
Si4 0.5000 0.5000 0.0000  4 Pt 2.43
Pt1 0.0000 0.5000 0.8900  5 Si 2.41-2.43
Pt2 0.5000 0.0000 0.1100  5 Si 2.41-2.43
Pt3 0.5000 0.5000 0.5000  4 Si 2.76, 4 Er 3.01

Values from the calculation:
Symmetry: No. 115
Formation energy from raw total energies: -0.99 eV per atom
Spin magnetization: 0.8 Bohr magnetons per cell

***

# 11
A relaxed structure of SmBeO3, computed with PBE.

a = 3.6266 Å, b = 3.6266 Å, c = 3.6266 Å
α = 90.00°, β = 90.00°, γ = 90.00°
With the nearest neighbours (Å) after each atom.
Fractional positions:
Sm1 0.0000 0.0000 0.0000  12 O 2.56
Be1 0.5000 0.5000 0.5000  6 O 1.81
O1 0.0000 0.5000 0.5000  2 Be 1.81
O2 0.5000 0.0000 0.5000  2 Be 1.81
O3 0.5000 0.5000 0.0000  2 Be 1.81

Values from the calculation:
Symmetry: No. 221
Formation energy from raw total energies: -2.47 eV per atom
Spin magnetization: 1.0 Bohr magnetons per cell

***

# 12
A relaxed structure of Al2GaAg, computed with PBE.

a = 5.8012 Å, b = 5.8012 Å, c = 4.9838 Å
α = 108.09°, β = 108.09°, γ = 60.90°
With the nearest neighbours (Å) after each atom.
Fractional positions:
Al1 0.1273 0.3700 0.2444  3 Ag 2.80-2.92, 3 Ga 2.85-2.91, 6 Al 2.87-2.95
Al2 0.3700 0.1273 0.7444  3 Ag 2.80-2.92, 3 Ga 2.85-2.91, 6 Al 2.87-2.95
Al3 0.6300 0.8727 0.2556  3 Ag 2.80-2.92, 3 Ga 2.85-2.91, 6 Al 2.87-2.95
Al4 0.8727 0.6300 0.7556  3 Ag 2.80-2.92, 3 Ga 2.85-2.91, 6 Al 2.87-2.95
Ga1 0.3694 0.6306 0.7500  4 Ag 2.85-2.97, 6 Al 2.85-2.91, 2 Ga 2.93
Ga2 0.6306 0.3694 0.2500  4 Ag 2.85-2.97, 6 Al 2.85-2.91, 2 Ga 2.93
Ag1 0.1352 0.8648 0.2500  6 Al 2.80-2.92, 4 Ga 2.85-2.97, 2 Ag 2.96
Ag2 0.8648 0.1352 0.7500  6 Al 2.80-2.92, 4 Ga 2.85-2.97, 2 Ag 2.96

Values from the calculation:
Symmetry: No. 15
Formation energy from the elements: 0.01 eV/atom
Spin magnetization: 0.0 Bohr magnetons per cell

***

The records above yield calculated volume values of 82 384 150 214 84 73 61 108 162 194 48 68 Å³/f.u., respectively.